A plane-wave DFT calculation with GGA-PBE was carried out for SrAgOs2O8 after structural relaxation.

Computed properties:
* crystal system: trigonal
* formation energy (no corrections): -1.118 eV per atom

CIF file:
```
data_SrAgOs2O8
_chemical_formula_sum 'Sr1 Ag1 Os2 O8'
_space_group_name_H-M_alt 'P -3 m 1'
_space_group_IT_number 164
_space_group_name_Hall '-P 3 2"'
_cell_length_a 5.9914
_cell_length_b 5.9914
_cell_length_c 7.3052
_cell_angle_alpha 90.00
_cell_angle_beta 90.00
_cell_angle_gamma 120.00
loop_
_atom_site_label
_atom_site_type_symbol
_atom_site_fract_x
_atom_site_fract_y
_atom_site_fract_z
Sr1 Sr 0.0000 0.0000 0.0000
Ag1 Ag 0.0000 0.0000 0.5000
Os1 Os 0.3333 0.6667 0.7975
O1 O 0.1661 0.3321 0.7347
O2 O 0.3333 0.6667 0.0417
```

=====

A plane-wave DFT calculation with GGA-PBE was carried out for SrAg2Os2O7 after structural relaxation.

Computed properties:
* crystal system: orthorhombic
* formation energy (no corrections): -1.001 eV per atom

CIF file:
```
data_SrAg2Os2O7
_chemical_formula_sum 'Sr2 Ag4 Os4 O14'
_space_group_name_H-M_alt 'I m m m'
_space_group_IT_number 71
_space_group_name_Hall '-I 2 2'
_cell_length_a 3.8438
_cell_length_b 3.8889
_cell_length_c 22.5986
_cell_angle_alpha 90.00
_cell_angle_beta 90.00
_cell_angle_gamma 90.00
loop_
_atom_site_label
_atom_site_type_symbol
_atom_site_fract_x
_atom_site_fract_y
_atom_site_fract_z
Sr1 Sr 0.0000 0.0000 0.0000
Ag1 Ag 0.0000 0.5000 0.2721
Os1 Os 0.0000 0.0000 0.4077
O1 O 0.0000 0.0000 0.3239
O2 O 0.0000 0.0000 0.5000
O3 O 0.0000 0.5000 0.0871
O4 O 0.0000 0.5000 0.4138
```

=====

A plane-wave DFT calculation with GGA-PBE was carried out for SrAgOsO6 after structural relaxation.

Computed properties:
* crystal system: triclinic
* formation energy (no corrections): -1.146 eV per atom

CIF file:
```
data_SrAgOsO6
_chemical_formula_sum 'Sr1 Ag1 Os1 O6'
_space_group_name_H-M_alt 'P 1'
_space_group_IT_number 1
_space_group_name_Hall 'P 1'
_cell_length_a 5.0654
_cell_length_b 5.5312
_cell_length_c 5.5371
_cell_angle_alpha 117.30
_cell_angle_beta 91.92
_cell_angle_gamma 91.20
loop_
_atom_site_label
_atom_site_type_symbol
_atom_site_fract_x
_atom_site_fract_y
_atom_site_fract_z
Sr1 Sr 0.0000 0.0000 0.0000
Ag1 Ag 0.4983 0.3188 0.6819
Os1 Os 0.4962 0.6529 0.3423
O1 O 0.2476 0.6353 0.0930
O2 O 0.2839 0.3728 0.3823
O3 O 0.3179 0.9353 0.6266
O4 O 0.6735 0.3611 0.0579
O5 O 0.7132 0.6152 0.6148
O6 O 0.7322 0.8996 0.3381
```

=====

A plane-wave DFT calculation with GGA-PBE was carried out for Sr2Ag2OsO6 after structural relaxation.

Computed properties:
* crystal system: monoclinic
* formation energy (no corrections): -1.427 eV per atom

CIF file:
```
data_Sr2Ag2OsO6
_chemical_formula_sum 'Sr4 Ag4 Os2 O12'
_space_group_name_H-M_alt 'C 1 2/m 1'
_space_group_IT_number 12
_space_group_name_Hall '-C 2y'
_cell_length_a 6.1131
_cell_length_b 10.7320
_cell_length_c 6.4446
_cell_angle_alpha 90.00
_cell_angle_beta 99.87
_cell_angle_gamma 90.00
loop_
_atom_site_label
_atom_site_type_symbol
_atom_site_fract_x
_atom_site_fract_y
_atom_site_fract_z
Sr1 Sr 0.0000 0.1651 0.0000
Ag1 Ag 0.0000 0.3634 0.5000
Os1 Os 0.0000 0.5000 0.0000
O1 O 0.0992 0.3631 0.8273
O2 O 0.2089 0.0000 0.8427
```

=====

A plane-wave DFT calculation with GGA-PBE was carried out for TbAgOsO6 after structural relaxation.

Computed properties:
* crystal system: trigonal
* formation energy (no corrections): -1.416 eV per atom

CIF file:
```
data_TbAgOsO6
_chemical_formula_sum 'Tb1 Ag1 Os1 O6'
_space_group_name_H-M_alt 'P 3 1 2'
_space_group_IT_number 149
_space_group_name_Hall 'P 3 2'
_cell_length_a 5.5628
_cell_length_b 5.5628
_cell_length_c 4.7631
_cell_angle_alpha 90.00
_cell_angle_beta 90.00
_cell_angle_gamma 120.00
loop_
_atom_site_label
_atom_site_type_symbol
_atom_site_fract_x
_atom_site_fract_y
_atom_site_fract_z
Tb1 Tb 0.0000 0.0000 0.0000
Ag1 Ag 0.3333 0.6667 0.5000
Os1 Os 0.6667 0.3333 0.0000
O1 O 0.3822 0.0594 0.7746
```

=====

A plane-wave DFT calculation with GGA-PBE was carried out for TbAg2OsO6 after structural relaxation.

Computed properties:
* crystal system: monoclinic
* formation energy (no corrections): -1.296 eV per atom

CIF file:
```
data_TbAg2OsO6
_chemical_formula_sum 'Tb2 Ag4 Os2 O12'
_space_group_name_H-M_alt 'P 1 21/c 1'
_space_group_IT_number 14
_space_group_name_Hall '-P 2ybc'
_cell_length_a 5.6755
_cell_length_b 5.7171
_cell_length_c 9.9001
_cell_angle_alpha 90.00
_cell_angle_beta 124.28
_cell_angle_gamma 90.00
loop_
_atom_site_label
_atom_site_type_symbol
_atom_site_fract_x
_atom_site_fract_y
_atom_site_fract_z
Tb1 Tb 0.0000 0.0000 0.0000
Ag1 Ag 0.2472 0.0114 0.7519
Os1 Os 0.5000 0.0000 0.5000
O1 O 0.1964 0.0286 0.2730
O2 O 0.2526 0.6671 0.0389
O3 O 0.3776 0.2138 0.0400
```

=====

A plane-wave DFT calculation with GGA-PBE was carried out for TiAg2OsO after structural relaxation.

Computed properties:
* crystal system: tetragonal
* formation energy (no corrections): 1.385 eV per atom

CIF file:
```
data_TiAg2OsO
_chemical_formula_sum 'Ti1 Ag2 Os1 O1'
_space_group_name_H-M_alt 'P 4/m m m'
_space_group_IT_number 123
_space_group_name_Hall '-P 4 2'
_cell_length_a 5.0650
_cell_length_b 5.0650
_cell_length_c 4.5412
_cell_angle_alpha 90.00
_cell_angle_beta 90.00
_cell_angle_gamma 90.00
loop_
_atom_site_label
_atom_site_type_symbol
_atom_site_fract_x
_atom_site_fract_y
_atom_site_fract_z
Ti1 Ti 0.0000 0.0000 0.0000
Ag1 Ag 0.0000 0.5000 0.5000
Os1 Os 0.0000 0.0000 0.5000
O1 O 0.5000 0.5000 0.0000
```

=====

A plane-wave DFT calculation with GGA-PBE was carried out for Tl3AgOs2O8 after structural relaxation.

Computed properties:
* crystal system: trigonal
* formation energy (no corrections): -0.714 eV per atom

CIF file:
```
data_Tl3AgOs2O8
_chemical_formula_sum 'Tl3 Ag1 Os2 O8'
_space_group_name_H-M_alt 'P -3 m 1'
_space_group_IT_number 164
_space_group_name_Hall '-P 3 2"'
_cell_length_a 6.1353
_cell_length_b 6.1353
_cell_length_c 8.0227
_cell_angle_alpha 90.00
_cell_angle_beta 90.00
_cell_angle_gamma 120.00
loop_
_atom_site_label
_atom_site_type_symbol
_atom_site_fract_x
_atom_site_fract_y
_atom_site_fract_z
Tl1 Tl 0.0000 0.0000 0.0000
Tl2 Tl 0.3333 0.6667 0.6541
Ag1 Ag 0.0000 0.0000 0.5000
Os1 Os 0.3333 0.6667 0.2024
O1 O 0.1744 0.3487 0.2892
O2 O 0.3333 0.6667 0.9792
```